Here is a relaxed structure of ZrAgBr2 from Alexandria via LeMat-Bulk. Energies are from PBE.

Unit cell a=3.2861 b=3.2861 c=10.4673 alpha=90.00 beta=90.00 gamma=90.00
Last column: nearest neighbours and their distance in Å.
Atoms (fractional coordinates):
Zr  0.0000  0.0000  0.0000  8 Br 2.86
Ag  0.0000  0.0000  0.5000  4 Ag 3.29
Br  0.5000  0.5000  0.1597  4 Zr 2.86
Br  0.5000  0.5000  0.8403  4 Zr 2.86

Polymorph energy (0 for the lowest one) = 3.38 kcal/mol of atoms
Energy relative to the elements, uncorrected = -0.459 eV per atom
Space group = No. 123
Electronic total energy = -16.58 eV per formula unit
DOS at the Fermi energy = 0.4362 states/eV/atom
Spin magnetization = 0.390 Bohr magnetons per cell